No. 1
This record from Alexandria via LeMat-Bulk describes a relaxed structure of MnAlTc2. The functional is PBE.

- Crystal system: orthorhombic
- Formation energy: -1.7 kJ per mole of atoms
- M_tot: 2.32 μB/f.u.

Geometry as CIF:
```
data_MnAlTc2
_chemical_formula_sum 'Mn2 Al2 Tc4'
_cell_length_a 5.2524
_cell_length_b 7.6101
_cell_length_c 2.8195
_cell_angle_alpha 90.00
_cell_angle_beta 90.00
_cell_angle_gamma 90.00
_space_group_name_H-M_alt 'C m m m'
_space_group_IT_number 65
_space_group_name_Hall '-C 2 2'
loop_
_atom_site_label
_atom_site_type_symbol
_atom_site_fract_x
_atom_site_fract_y
_atom_site_fract_z
_atom_site_occupancy
Mn1 Mn 0.0000 0.0000 0.0000 1
Al1 Al 0.0000 0.5000 0.0000 1
Tc1 Tc 0.2500 0.2500 0.5000 1
```

---

No. 2
This record from Alexandria via LeMat-Bulk describes a relaxed structure of CaNdRh. The functional is PBE.

- Crystal system: tetragonal
- Formation energy: -40.1 kJ per mole of atoms
- M_tot: 0.00 μB/f.u.
- Excess energy over the best structure of this formula in the dataset: 32 meV per atom

Geometry as CIF:
```
data_CaNdRh
_chemical_formula_sum 'Ca2 Nd2 Rh2'
_cell_length_a 3.5270
_cell_length_b 3.5270
_cell_length_c 13.3050
_cell_angle_alpha 90.00
_cell_angle_beta 90.00
_cell_angle_gamma 90.00
_space_group_name_H-M_alt 'I 4 m m'
_space_group_IT_number 107
_space_group_name_Hall 'I 4 -2'
loop_
_atom_site_label
_atom_site_type_symbol
_atom_site_fract_x
_atom_site_fract_y
_atom_site_fract_z
_atom_site_occupancy
Ca1 Ca 0.0000 0.0000 0.0000 1
Nd1 Nd 0.0000 0.0000 0.2547 1
Rh1 Rh 0.0000 0.0000 0.6372 1
```

---

No. 3
This record from Alexandria via LeMat-Bulk describes a relaxed structure of Nb3Pd. The functional is PBE.

- Crystal system: orthorhombic
- Formation energy: -17.2 kJ per mole of atoms
- M_tot: 0.00 μB/f.u.

Geometry as CIF:
```
data_Nb3Pd
_chemical_formula_sum 'Nb6 Pd2'
_cell_length_a 3.4351
_cell_length_b 4.4565
_cell_length_c 9.1093
_cell_angle_alpha 90.00
_cell_angle_beta 90.00
_cell_angle_gamma 90.00
_space_group_name_H-M_alt 'C m m m'
_space_group_IT_number 65
_space_group_name_Hall '-C 2 2'
loop_
_atom_site_label
_atom_site_type_symbol
_atom_site_fract_x
_atom_site_fract_y
_atom_site_fract_z
_atom_site_occupancy
Nb1 Nb 0.0000 0.0000 0.0000 1
Nb2 Nb 0.0000 0.5000 0.2590 1
Pd1 Pd 0.0000 0.0000 0.5000 1
```

---

No. 4
This record from Alexandria via LeMat-Bulk describes a relaxed structure of Er8Cu2Au. The functional is PBE.

- Crystal system: monoclinic
- Formation energy: -11.4 kJ per mole of atoms
- M_tot: 0.00 μB/f.u.
- Excess energy over the best structure of this formula in the dataset: 120 meV per atom

Geometry as CIF:
```
data_Er8Cu2Au
_chemical_formula_sum 'Er16 Cu4 Au2'
_cell_length_a 8.3713
_cell_length_b 13.1437
_cell_length_c 5.6039
_cell_angle_alpha 90.00
_cell_angle_beta 108.46
_cell_angle_gamma 90.00
_space_group_name_H-M_alt 'C 1 m 1'
_space_group_IT_number 8
loop_
_space_group_symop_operation_xyz
'x,y,z'
'x,-y,z'
'x+1/2,y+1/2,z'
'x+1/2,-y+1/2,z'
loop_
_atom_site_label
_atom_site_type_symbol
_atom_site_fract_x
_atom_site_fract_y
_atom_site_fract_z
_atom_site_occupancy
Er1 Er 0.0000 0.0000 0.0000 1
Er2 Er 0.0862 0.3730 0.7885 1
Er3 Er 0.1586 0.1268 0.5786 1
Er4 Er 0.2512 0.5000 0.3804 1
Er5 Er 0.3725 0.2200 0.1882 1
Cu1 Cu 0.3755 0.3039 0.6927 1
Au1 Au 0.3749 0.0000 0.3138 1
```

---

No. 5
This record from Alexandria via LeMat-Bulk describes a relaxed structure of CdCoCu2. The functional is PBE.

- Crystal system: trigonal
- Formation energy: 24.0 kJ per mole of atoms
- M_tot: 1.36 μB/f.u.

Geometry as CIF:
```
data_CdCoCu2
_chemical_formula_sum 'Cd3 Co3 Cu6'
_cell_length_a 2.7175
_cell_length_b 2.7175
_cell_length_c 26.3395
_cell_angle_alpha 90.00
_cell_angle_beta 90.00
_cell_angle_gamma 120.00
_space_group_name_H-M_alt 'R -3 m'
_space_group_IT_number 166
_space_group_name_Hall '-R 3 2"'
loop_
_atom_site_label
_atom_site_type_symbol
_atom_site_fract_x
_atom_site_fract_y
_atom_site_fract_z
_atom_site_occupancy
Cd1 Cd 0.0000 0.0000 0.0000 1
Co1 Co 0.0000 0.0000 0.5000 1
Cu1 Cu 0.0000 0.0000 0.2417 1
```

---

No. 6
This record from Alexandria via LeMat-Bulk describes a relaxed structure of TaReRh2. The functional is PBE.

- Crystal system: orthorhombic
- Formation energy: -30.8 kJ per mole of atoms
- M_tot: 0.00 μB/f.u.
- Excess energy over the best structure of this formula in the dataset: 50 meV per atom

Geometry as CIF:
```
data_TaReRh2
_chemical_formula_sum 'Ta1 Re1 Rh2'
_cell_length_a 2.7802
_cell_length_b 4.4815
_cell_length_c 4.8551
_cell_angle_alpha 90.00
_cell_angle_beta 90.00
_cell_angle_gamma 90.00
_space_group_name_H-M_alt 'P m m 2'
_space_group_IT_number 25
loop_
_space_group_symop_operation_xyz
'x,y,z'
'-x,-y,z'
'-x,y,z'
'x,-y,z'
loop_
_atom_site_label
_atom_site_type_symbol
_atom_site_fract_x
_atom_site_fract_y
_atom_site_fract_z
_atom_site_occupancy
Ta1 Ta 0.0000 0.0000 0.0000 1
Re1 Re 0.0000 0.5000 0.6501 1
Rh1 Rh 0.5000 0.0000 0.5067 1
Rh2 Rh 0.5000 0.5000 0.1569 1
```

---

No. 7
This record from Alexandria via LeMat-Bulk describes a relaxed structure of PmHoLuIn. The functional is PBE.

- Crystal system: cubic
- Formation energy: -14.4 kJ per mole of atoms
- M_tot: 0.29 μB/f.u.

Geometry as CIF:
```
data_PmHoLuIn
_chemical_formula_sum 'Pm4 Ho4 Lu4 In4'
_cell_length_a 7.7119
_cell_length_b 7.7119
_cell_length_c 7.7119
_cell_angle_alpha 90.00
_cell_angle_beta 90.00
_cell_angle_gamma 90.00
_space_group_name_H-M_alt 'F -4 3 m'
_space_group_IT_number 216
_space_group_name_Hall 'F -4 2 3'
loop_
_atom_site_label
_atom_site_type_symbol
_atom_site_fract_x
_atom_site_fract_y
_atom_site_fract_z
_atom_site_occupancy
Pm1 Pm 0.0000 0.0000 0.0000 1
Ho1 Ho 0.0000 0.0000 0.5000 1
Lu1 Lu 0.2500 0.2500 0.7500 1
In1 In 0.2500 0.2500 0.2500 1
```

---

No. 8
This record from Alexandria via LeMat-Bulk describes a relaxed structure of Mg2BeCr. The functional is PBE.

- Crystal system: orthorhombic
- Formation energy: 50.9 kJ per mole of atoms
- M_tot: 0.00 μB/f.u.

Geometry as CIF:
```
data_Mg2BeCr
_chemical_formula_sum 'Mg4 Be2 Cr2'
_cell_length_a 3.4381
_cell_length_b 4.0554
_cell_length_c 8.4397
_cell_angle_alpha 90.00
_cell_angle_beta 90.00
_cell_angle_gamma 90.00
_space_group_name_H-M_alt 'C m m m'
_space_group_IT_number 65
_space_group_name_Hall '-C 2 2'
loop_
_atom_site_label
_atom_site_type_symbol
_atom_site_fract_x
_atom_site_fract_y
_atom_site_fract_z
_atom_site_occupancy
Mg1 Mg 0.0000 0.0000 0.2422 1
Be1 Be 0.0000 0.5000 0.0000 1
Cr1 Cr 0.0000 0.5000 0.5000 1
```

---

No. 9
This record from Alexandria via LeMat-Bulk describes a relaxed structure of NdGdTmMg. The functional is PBE.

- Crystal system: cubic
- Formation energy: 1.4 kJ per mole of atoms
- M_tot: 7.39 μB/f.u.

Geometry as CIF:
```
data_NdGdTmMg
_chemical_formula_sum 'Nd4 Gd4 Tm4 Mg4'
_cell_length_a 7.8429
_cell_length_b 7.8429
_cell_length_c 7.8429
_cell_angle_alpha 90.00
_cell_angle_beta 90.00
_cell_angle_gamma 90.00
_space_group_name_H-M_alt 'F -4 3 m'
_space_group_IT_number 216
_space_group_name_Hall 'F -4 2 3'
loop_
_atom_site_label
_atom_site_type_symbol
_atom_site_fract_x
_atom_site_fract_y
_atom_site_fract_z
_atom_site_occupancy
Nd1 Nd 0.0000 0.0000 0.0000 1
Gd1 Gd 0.0000 0.0000 0.5000 1
Tm1 Tm 0.2500 0.2500 0.2500 1
Mg1 Mg 0.2500 0.2500 0.7500 1
```

---

No. 10
This record from Alexandria via LeMat-Bulk describes a relaxed structure of CsCu2PbBr8. The functional is PBE.

- Formation energy without anion corrections: -593 meV per atom
- Crystal system: trigonal
- M_tot: 3.12 μB/f.u.

Geometry as CIF:
```
data_CsCu2PbBr8
_chemical_formula_sum 'Cs3 Cu6 Pb3 Br24'
_cell_length_a 6.9300
_cell_length_b 6.9300
_cell_length_c 30.8449
_cell_angle_alpha 90.00
_cell_angle_beta 90.00
_cell_angle_gamma 120.00
_space_group_name_H-M_alt 'R 3 2'
_space_group_IT_number 155
_space_group_name_Hall 'R 3 2"'
loop_
_atom_site_label
_atom_site_type_symbol
_atom_site_fract_x
_atom_site_fract_y
_atom_site_fract_z
_atom_site_occupancy
Cs1 Cs 0.0000 0.0000 0.0000 1
Cu1 Cu 0.0000 0.0000 0.2505 1
Pb1 Pb 0.0000 0.0000 0.5000 1
Br1 Br 0.0000 0.0000 0.3271 1
Br2 Br 0.0026 0.3398 0.5632 1
```

---

No. 11
This record from Alexandria via LeMat-Bulk describes a relaxed structure of TmHf2Mo. The functional is PBE.

- Crystal system: trigonal
- Formation energy: 32.4 kJ per mole of atoms
- M_tot: 0.00 μB/f.u.
- Excess energy over the best structure of this formula in the dataset: 295 meV per atom

Geometry as CIF:
```
data_TmHf2Mo
_chemical_formula_sum 'Tm3 Hf6 Mo3'
_cell_length_a 3.2227
_cell_length_b 3.2227
_cell_length_c 31.0257
_cell_angle_alpha 90.00
_cell_angle_beta 90.00
_cell_angle_gamma 120.00
_space_group_name_H-M_alt 'R -3 m'
_space_group_IT_number 166
_space_group_name_Hall '-R 3 2"'
loop_
_atom_site_label
_atom_site_type_symbol
_atom_site_fract_x
_atom_site_fract_y
_atom_site_fract_z
_atom_site_occupancy
Tm1 Tm 0.0000 0.0000 0.0000 1
Hf1 Hf 0.0000 0.0000 0.1009 1
Mo1 Mo 0.0000 0.0000 0.5000 1
```

---

No. 12
This record from Alexandria via LeMat-Bulk describes a relaxed structure of NaVHg3. The functional is PBE.

- Crystal system: cubic
- Formation energy: 28.2 kJ per mole of atoms
- M_tot: 3.54 μB/f.u.
- Excess energy over the best structure of this formula in the dataset: 0 meV per atom

Geometry as CIF:
```
data_NaVHg3
_chemical_formula_sum 'Na1 V1 Hg3'
_cell_length_a 5.3596
_cell_length_b 5.3596
_cell_length_c 5.3596
_cell_angle_alpha 90.00
_cell_angle_beta 90.00
_cell_angle_gamma 90.00
_space_group_name_H-M_alt 'P m -3 m'
_space_group_IT_number 221
_space_group_name_Hall '-P 4 2 3'
loop_
_atom_site_label
_atom_site_type_symbol
_atom_site_fract_x
_atom_site_fract_y
_atom_site_fract_z
_atom_site_occupancy
Na1 Na 0.0000 0.0000 0.0000 1
V1 V 0.5000 0.5000 0.5000 1
Hg1 Hg 0.0000 0.5000 0.5000 1
```